First-principles (PBE-GGA) data for crystalline MoAs2Cl at its relaxed geometry, as listed in Alexandria via LeMat-Bulk.

a = 3.263 Å, b = 3.178 Å, c = 7.480 Å
α = 90.00°, β = 90.23°, γ = 90.00°
Fractional positions:
Mo  0.000  0.000  0.000
As  0.498  0.500  0.811
As  0.502  0.500  0.189
Cl  0.500  0.000  0.500

Computed properties:
As for the space-group type: No. 10. The value obtained for the theoretical density is 6.0 g cm⁻³. The value obtained for the energy above the most stable polymorph in this dataset is 100 meV/atom. The density of states at the Fermi level comes out at 3.32 states/eV/cell. As for the energy: -5.54 eV per atom. The formation energy from raw total energies comes out at -41 meV/atom.